Sb4S5Br: optimized geometry, PBE-GGA.

Structure (extended XYZ):
```
20
Lattice="7.530 0.000 0.000 0.000 8.522 0.000 0.000 0.000 9.168" Properties=species:S:1:pos:R:3 pbc="T T T"
Sb 1.032 0.000 6.573
Sb 3.814 6.912 0.000
Sb 3.814 1.610 0.000
Sb 1.032 0.000 2.595
Sb 6.498 4.261 1.989
Sb 3.716 5.871 4.584
Sb 3.716 2.651 4.584
Sb 6.498 4.261 7.179
S 2.076 6.452 7.396
S 2.076 2.070 7.396
S 4.623 4.261 0.000
S 2.076 6.452 1.771
S 2.076 2.070 1.771
S 5.454 6.331 2.813
S 5.454 2.191 2.813
S 2.907 0.000 4.584
S 5.454 2.191 6.355
S 5.454 6.331 6.355
Br 7.022 0.000 0.000
Br 0.508 4.261 4.584
```

Values from the calculation:
- Formation energy without anion corrections: -0.189 eV per atom
- Symmetry: Pmmn (59)
- Calculated volume: 29.4 Å³/atom